1.
Material: Zn2SnPd2
Method: DFT, PBE
State: relaxed

Offset from the most stable computed form, meV/atom: 0.0
Formation energy from the elements, eV per formula unit: -1.93

a = 7.2964 Å, b = 7.2964 Å, c = 3.1548 Å
α = 90.00°, β = 90.00°, γ = 90.00°
Closest atoms and distances in Å follow each position.
Space group P4/mbm (No. 127)
Symmetry-distinct sites (fractional):
Zn1 0.1461 0.3539 0.0000 x4  6 Pd 2.65-2.66
Sn1 0.0000 0.0000 0.5000 x2  4 Pd 2.79
Pd1 0.1479 0.6479 0.5000 x4  6 Zn 2.65-2.66, 2 Sn 2.79

***

2.
Material: K3YN
Method: DFT, PBE
State: relaxed

E_form (uncorrected), meV/atom: 952

a = 5.7505 Å, b = 5.7505 Å, c = 5.7505 Å
α = 90.00°, β = 90.00°, γ = 90.00°
Closest atoms and distances in Å follow each position.
Space group Pm-3m (No. 221)
Symmetry-distinct sites (fractional):
K1 0.0000 0.0000 0.5000 x3  2 N 2.88
Y1 0.5000 0.5000 0.5000 x1  12 K 4.07
N1 0.0000 0.0000 0.0000 x1  6 K 2.88

***

3.
Material: Ca2LuTl
Method: DFT, PBE
State: relaxed

Offset from the most stable computed form, meV/atom: 64.2
Formation energy from the elements, eV per formula unit: -0.31

a = 4.1444 Å, b = 4.1444 Å, c = 7.3403 Å
α = 90.00°, β = 90.00°, γ = 90.00°
Closest atoms and distances in Å follow each position.
Space group P4/mmm (No. 123)
Symmetry-distinct sites (fractional):
Ca1 0.0000 0.0000 0.2361 x2  4 Tl 3.40, 1 Ca 3.47, 4 Lu 3.51
Lu1 0.5000 0.5000 0.5000 x1  8 Ca 3.51, 2 Tl 3.67
Tl1 0.5000 0.5000 0.0000 x1  8 Ca 3.40, 2 Lu 3.67

***

| no. | DOS(E_F) (states/eV per cell) |
| --- | --- |
| 1 | 2.35 |
| 2 | 7.60 |
| 3 | 3.44 |